Record 1
An optimized crystal structure of TlSb2Mo2. Source: the Alexandria database, functional PBE.

```
10
Lattice="-1.300 -7.580 -0.026 0.202 -0.008 -7.688 3.426 -0.588 0.091" Properties=species:S:1:pos:R:3 pbc="T T T"
Sb 1.285 -2.962 -1.103
Tl -0.549 -3.794 -3.857
Sb 1.651 -1.422 -4.941
Mo -0.808 -4.886 -1.128
Tl 0.000 0.000 0.000
Mo -0.982 -6.489 -4.977
Mo -0.116 -1.098 -2.736
Sb 1.042 -5.213 -6.521
Mo -0.289 -2.701 -6.586
Sb 0.677 -6.754 -2.682
```

Formation energy from raw total energies, eV/atom: 0.34

Record 2
An optimized crystal structure of RbNiGe3. Source: the Alexandria database, functional PBE.

```
5
Lattice="4.844 0.000 0.000 0.000 4.844 0.000 0.000 0.000 4.844" Properties=species:S:1:pos:R:3 pbc="T T T"
Ge 2.422 0.000 0.000
Ge 0.000 2.422 0.000
Ni 0.000 0.000 0.000
Rb 2.422 2.422 2.422
Ge 0.000 0.000 2.422
```

Energy relative to the lowest polymorph listed for this composition, meV/atom: 0
Energy of formation, meV/atom: 260.5

Record 3
An optimized crystal structure of Ho5ErTl4. Source: the Alexandria database, functional PBE.

```
10
Lattice="-2.050 1.971 -2.219 1.280 -1.845 -2.822 -15.952 -14.250 2.080" Properties=species:S:1:pos:R:3 pbc="T T T"
Tl -9.524 -8.507 1.242
Tl -12.615 -11.269 1.645
Ho -2.177 -1.538 -2.287
Ho -14.545 -12.586 -0.674
Ho -8.361 -7.062 -1.480
Er 0.000 0.000 0.000
Ho -11.465 -9.835 -1.076
Ho -5.257 -4.289 -1.885
Tl -3.337 -2.981 0.435
Tl -6.429 -5.743 0.838
```

Energy of formation, meV/atom: -265.6

Record 4
An optimized crystal structure of Zn5Ag3. Source: the Alexandria database, functional PBE.

```
8
Lattice="5.807 0.117 0.000 0.131 5.807 0.000 0.000 0.000 3.772" Properties=species:S:1:pos:R:3 pbc="T T T"
Zn 4.378 1.549 1.886
Ag 1.419 1.415 1.886
Zn 0.000 0.000 0.000
Zn 2.903 0.059 0.000
Ag 4.519 4.509 1.886
Zn 0.065 2.903 0.000
Ag 2.969 2.962 0.000
Zn 1.559 4.375 1.886
```

Energy relative to the lowest polymorph listed for this composition, meV/atom: 6
Energy of formation, meV/atom: -4.1

Record 5
An optimized crystal structure of PmZrSe2O. Source: the Alexandria database, functional PBE.

```
10
Lattice="3.921 0.000 0.000 0.000 3.921 0.000 0.000 0.000 13.788" Properties=species:S:1:pos:R:3 pbc="T T T"
Se 1.961 0.000 3.956
Pm 0.000 1.961 5.679
O 1.961 1.961 6.894
Zr 1.961 0.000 1.352
Zr 0.000 1.961 12.436
Se 0.000 1.961 9.833
O 0.000 0.000 6.894
Pm 1.961 0.000 8.110
Se 0.000 1.961 1.478
Se 1.961 0.000 12.311
```

Formation energy from raw total energies, eV/atom: -2.11

Record 6
An optimized crystal structure of RuWSe. Source: the Alexandria database, functional PBE.

```
3
Lattice="2.944 0.000 0.000 -1.472 2.550 0.000 0.000 0.000 6.310" Properties=species:S:1:pos:R:3 pbc="T T T"
Ru 0.000 0.000 6.259
W 0.000 1.700 4.211
Se 1.472 0.850 2.150
```

Energy relative to the lowest polymorph listed for this composition, meV/atom: 100
Formation energy from raw total energies, eV/atom: 0.26

Q: Which D(E_F) values were calculated for the entries above? A: 1.1252, 0.7843, 0.7884, 0.2468, 0.2440, 0.9779, in states/eV/atom.